# Na2VSiO GGA+U optimized geometry
data_Na2VSiO
_chemical_formula_sum 'Na2 V1 Si1 O1'
_space_group_name_H-M_alt 'P 1'
_space_group_IT_number 1
_cell_length_a 4.429
_cell_length_b 4.429
_cell_length_c 4.320
_cell_angle_alpha 90.00
_cell_angle_beta 90.00
_cell_angle_gamma 90.00
loop_
_space_group_symop_operation_xyz
'x,y,z'
loop_
_atom_site_label
_atom_site_fract_x
_atom_site_fract_y
_atom_site_fract_z
Na1 0.000 0.500 0.000
Na2 0.500 0.000 0.000
V1 0.000 0.000 0.500
Si1 0.500 0.500 0.500
O1 0.500 0.500 0.000
# - total magnetic moment (μB/f.u.) = 3.50
# - raw total energy (eV per atom) = -4.014
# - space group = P4/mmm, No. 123


# NaVSiO4 GGA+U optimized geometry
data_NaVSiO4
_chemical_formula_sum 'Na2 V2 Si2 O8'
_space_group_name_H-M_alt 'P 1'
_space_group_IT_number 1
_cell_length_a 5.064
_cell_length_b 5.064
_cell_length_c 6.712
_cell_angle_alpha 90.00
_cell_angle_beta 90.00
_cell_angle_gamma 115.15
loop_
_space_group_symop_operation_xyz
'x,y,z'
loop_
_atom_site_label
_atom_site_fract_x
_atom_site_fract_y
_atom_site_fract_z
Na1 0.183 0.817 0.750
Na2 0.817 0.183 0.250
V1 0.500 0.500 0.000
V2 0.500 0.500 0.500
Si1 0.162 0.838 0.250
Si2 0.838 0.162 0.750
O1 0.203 0.295 0.750
O2 0.276 0.724 0.056
O3 0.276 0.724 0.444
O4 0.295 0.203 0.250
O5 0.705 0.797 0.750
O6 0.724 0.276 0.556
O7 0.724 0.276 0.944
O8 0.797 0.705 0.250
# - total magnetic moment (μB/f.u.) = 2.00
# - raw total energy (eV per atom) = -7.181
# - space group = Cmcm, No. 63


# NaVSi2O6 GGA+U optimized geometry
data_NaVSi2O6
_chemical_formula_sum 'Na2 V2 Si4 O12'
_space_group_name_H-M_alt 'P 1'
_space_group_IT_number 1
_cell_length_a 6.760
_cell_length_b 6.760
_cell_length_c 4.966
_cell_angle_alpha 96.94
_cell_angle_beta 96.94
_cell_angle_gamma 89.01
loop_
_space_group_symop_operation_xyz
'x,y,z'
loop_
_atom_site_label
_atom_site_fract_x
_atom_site_fract_y
_atom_site_fract_z
Na1 0.085 0.915 0.750
Na2 0.915 0.085 0.250
V1 0.274 0.726 0.250
V2 0.726 0.274 0.750
Si1 0.208 0.390 0.720
Si2 0.390 0.208 0.220
Si3 0.610 0.792 0.780
Si4 0.792 0.610 0.280
O1 0.015 0.247 0.670
O2 0.173 0.604 0.885
O3 0.247 0.015 0.170
O4 0.287 0.405 0.409
O5 0.396 0.827 0.615
O6 0.405 0.287 0.909
O7 0.595 0.713 0.091
O8 0.604 0.173 0.385
O9 0.713 0.595 0.591
O10 0.753 0.985 0.830
O11 0.827 0.396 0.115
O12 0.985 0.753 0.330
# - total magnetic moment (μB/f.u.) = 2.00
# - raw total energy (eV per atom) = -7.343
# - space group = C2/c, No. 15


# Na2VSiO4 GGA+U optimized geometry
data_Na2VSiO4
_chemical_formula_sum 'Na2 V1 Si1 O4'
_space_group_name_H-M_alt 'P 1'
_space_group_IT_number 1
_cell_length_a 5.152
_cell_length_b 5.152
_cell_length_c 5.152
_cell_angle_alpha 114.24
_cell_angle_beta 114.24
_cell_angle_gamma 100.30
loop_
_space_group_symop_operation_xyz
'x,y,z'
loop_
_atom_site_label
_atom_site_fract_x
_atom_site_fract_y
_atom_site_fract_z
Na1 0.000 0.000 0.000
Na2 0.750 0.250 0.500
V1 0.250 0.750 0.500
Si1 0.500 0.500 0.000
O1 0.203 0.168 0.657
O2 0.453 0.797 0.965
O3 0.511 0.547 0.343
O4 0.832 0.489 0.035
# - total magnetic moment (μB/f.u.) = 2.99
# - raw total energy (eV per atom) = -6.416
# - space group = I-4, No. 82


# Na2VSiO5 GGA+U optimized geometry
data_Na2VSiO5
_chemical_formula_sum 'Na4 V2 Si2 O10'
_space_group_name_H-M_alt 'P 1'
_space_group_IT_number 1
_cell_length_a 7.262
_cell_length_b 7.262
_cell_length_c 10.739
_cell_angle_alpha 90.00
_cell_angle_beta 90.00
_cell_angle_gamma 156.71
loop_
_space_group_symop_operation_xyz
'x,y,z'
loop_
_atom_site_label
_atom_site_fract_x
_atom_site_fract_y
_atom_site_fract_z
Na1 0.082 0.918 0.500
Na2 0.131 0.869 0.157
Na3 0.869 0.131 0.657
Na4 0.918 0.082 0.000
V1 0.228 0.772 0.888
V2 0.772 0.228 0.388
Si1 0.439 0.561 0.269
Si2 0.561 0.439 0.769
O1 0.039 0.961 0.849
O2 0.289 0.711 0.504
O3 0.322 0.678 0.269
O4 0.344 0.656 0.852
O5 0.490 0.510 0.138
O6 0.510 0.490 0.638
O7 0.656 0.344 0.352
O8 0.678 0.322 0.769
O9 0.711 0.289 0.004
O10 0.961 0.039 0.349
# - total magnetic moment (μB/f.u.) = 1.00
# - raw total energy (eV per atom) = -6.635
# - space group = Cmc2_1, No. 36


# NaVSi2O6 GGA+U optimized geometry
data_NaVSi2O6
_chemical_formula_sum 'Na2 V2 Si4 O12'
_space_group_name_H-M_alt 'P 1'
_space_group_IT_number 1
_cell_length_a 6.614
_cell_length_b 6.614
_cell_length_c 5.386
_cell_angle_alpha 102.55
_cell_angle_beta 102.55
_cell_angle_gamma 84.44
loop_
_space_group_symop_operation_xyz
'x,y,z'
loop_
_atom_site_label
_atom_site_fract_x
_atom_site_fract_y
_atom_site_fract_z
Na1 0.201 0.799 0.750
Na2 0.799 0.201 0.250
V1 0.404 0.596 0.250
V2 0.596 0.404 0.750
Si1 0.119 0.298 0.758
Si2 0.298 0.119 0.258
Si3 0.702 0.881 0.742
Si4 0.881 0.702 0.242
O1 0.116 0.608 0.306
O2 0.142 0.156 0.982
O3 0.156 0.142 0.482
O4 0.305 0.463 0.853
O5 0.392 0.884 0.194
O6 0.463 0.305 0.353
O7 0.537 0.695 0.647
O8 0.608 0.116 0.806
O9 0.695 0.537 0.147
O10 0.844 0.858 0.518
O11 0.858 0.844 0.018
O12 0.884 0.392 0.694
# - total magnetic moment (μB/f.u.) = 2.00
# - raw total energy (eV per atom) = -7.455
# - space group = C2/c, No. 15


# NaVSiO4 GGA+U optimized geometry
data_NaVSiO4
_chemical_formula_sum 'Na2 V2 Si2 O8'
_space_group_name_H-M_alt 'P 1'
_space_group_IT_number 1
_cell_length_a 5.246
_cell_length_b 5.700
_cell_length_c 6.514
_cell_angle_alpha 90.00
_cell_angle_beta 110.81
_cell_angle_gamma 90.00
loop_
_space_group_symop_operation_xyz
'x,y,z'
loop_
_atom_site_label
_atom_site_fract_x
_atom_site_fract_y
_atom_site_fract_z
Na1 0.186 0.250 0.456
Na2 0.814 0.750 0.544
V1 0.324 0.250 0.985
V2 0.676 0.750 0.015
Si1 0.222 0.750 0.153
Si2 0.778 0.250 0.847
O1 0.003 0.250 0.095
O2 0.026 0.750 0.299
O3 0.449 0.533 0.185
O4 0.449 0.967 0.185
O5 0.551 0.033 0.815
O6 0.551 0.467 0.815
O7 0.974 0.250 0.701
O8 0.997 0.750 0.905
# - total magnetic moment (μB/f.u.) = 2.00
# - raw total energy (eV per atom) = -7.069
# - space group = P2_1/m, No. 11